(1)
Entry from the Alexandria database: Tb3SiS2 after structural relaxation (PBE).

extended XYZ file:
```
6
Lattice="-2.013 2.833 6.007 2.013 -2.833 6.007 2.013 2.833 -6.007" Properties=species:S:1:pos:R:3 pbc="T T T"
Tb 0.000 0.000 0.000
Tb 0.000 0.000 4.017
Tb 0.000 0.000 7.998
Si 0.000 2.833 0.000
S 2.013 0.000 2.002
S 0.000 2.833 4.005
```

Summary:
Its energy above the most stable polymorph in this dataset is 0.000 eV/atom. Its formation energy from raw total energies is -1.649 eV per atom.

=====

(2)
Entry from the Alexandria database: TbSiS after structural relaxation (PBE).

extended XYZ file:
```
6
Lattice="2.158 -9.225 0.000 2.158 9.225 0.000 0.000 0.000 3.978" Properties=species:S:1:pos:R:3 pbc="T T T"
Tb 2.158 7.481 2.983
Tb 2.158 -7.481 0.994
Si 2.158 0.639 2.983
Si 2.158 -0.639 0.994
S 2.158 5.876 0.994
S 2.158 -5.876 2.983
```

Summary:
Its formation energy from raw total energies is -0.715 eV per atom.

=====

(3)
Entry from the Alexandria database: TbSi2S6 after structural relaxation (PBE).

extended XYZ file:
```
18
Lattice="6.268 -5.704 0.000 6.268 5.704 0.000 -1.138 0.000 6.227" Properties=species:S:1:pos:R:3 pbc="T T T"
Tb 5.414 4.286 4.670
Tb 5.983 -4.286 1.557
Si 2.781 0.846 4.272
Si 3.350 -0.846 1.159
Si 8.047 0.846 5.068
Si 8.616 -0.846 1.955
S 0.673 0.907 4.066
S 3.433 2.555 5.310
S 1.242 -0.907 0.953
S 3.938 0.831 2.421
S 3.369 -0.831 5.534
S 7.396 2.555 4.030
S 4.001 -2.555 2.197
S 8.029 0.831 0.693
S 7.460 -0.831 3.806
S 10.156 0.907 5.274
S 7.965 -2.555 0.916
S 10.725 -0.907 2.161
```

Summary:
Its formation energy from raw total energies is -0.829 eV per atom.

=====

(4)
Entry from the Alexandria database: Tb5SiS5 after structural relaxation (PBE).

extended XYZ file:
```
11
Lattice="6.306 -2.800 0.000 6.306 2.800 0.000 -2.509 0.000 7.558" Properties=species:S:1:pos:R:3 pbc="T T T"
Tb 0.000 0.000 0.000
Tb 2.559 0.000 5.019
Tb 3.840 0.000 1.327
Tb 6.263 0.000 6.231
Tb 7.544 0.000 2.540
Si 6.306 0.000 0.000
S 1.319 0.000 2.516
S 0.065 0.000 6.360
S 5.051 0.000 3.779
S 10.037 0.000 1.198
S 8.784 0.000 5.042
```

Summary:
Its formation energy from raw total energies is -1.849 eV per atom.

=====

(5)
Entry from the Alexandria database: Tb7SiS5 after structural relaxation (PBE).

extended XYZ file:
```
26
Lattice="6.426 -1.977 0.000 6.426 1.977 0.000 -0.008 0.000 23.249" Properties=species:S:1:pos:R:3 pbc="T T T"
Tb 0.433 0.000 5.814
Tb 1.765 0.000 12.483
Tb 1.760 0.000 22.392
Tb 4.013 0.000 7.479
Tb 4.018 0.000 4.144
Tb 5.228 0.000 20.606
Tb 5.234 0.000 14.267
Tb 7.610 0.000 8.982
Tb 7.616 0.000 2.643
Tb 8.827 0.000 19.105
Tb 8.831 0.000 15.770
Tb 11.084 0.000 0.858
Tb 11.079 0.000 10.766
Tb 12.411 0.000 17.435
Si 3.911 0.000 17.441
Si 8.933 0.000 5.808
S 0.616 0.000 14.940
S 0.610 0.000 19.935
S 2.901 0.000 1.660
S 2.896 0.000 9.965
S 6.426 0.000 0.000
S 6.422 0.000 11.625
S 9.948 0.000 13.285
S 9.943 0.000 21.590
S 12.234 0.000 3.314
S 12.229 0.000 8.309
```

Summary:
Its formation energy from raw total energies is -1.691 eV per atom.

=====

(6)
Entry from the Alexandria database: Tb3SiS2 after structural relaxation (PBE).

extended XYZ file:
```
12
Lattice="5.411 -5.400 0.000 5.411 5.400 0.000 0.000 0.000 6.414" Properties=species:S:1:pos:R:3 pbc="T T T"
Tb 5.411 4.276 4.811
Tb 3.735 0.929 4.811
Tb 3.735 -0.929 1.604
Tb 7.087 0.929 4.811
Tb 7.087 -0.929 1.604
Tb 5.411 -4.276 1.604
Si 5.411 1.366 1.604
Si 5.411 -1.366 4.811
S 1.807 0.000 0.000
S 1.807 0.000 3.207
S 9.015 0.000 0.000
S 9.015 0.000 3.207
```

Summary:
Its energy above the most stable polymorph in this dataset is 0.816 eV/atom. Its formation energy from raw total energies is -0.832 eV per atom.

=====

(7)
Entry from the Alexandria database: Tb6SiS5 after structural relaxation (PBE).

extended XYZ file:
```
12
Lattice="3.436 -5.948 0.000 3.436 5.948 0.000 -2.280 0.000 6.507" Properties=species:S:1:pos:R:3 pbc="T T T"
Tb 1.136 1.964 1.612
Tb -0.012 0.000 4.905
Tb 1.136 -1.964 1.612
Tb 3.456 1.964 4.895
Tb 4.603 0.000 1.602
Tb 3.456 -1.964 4.895
Si 0.000 0.000 0.000
S 2.296 3.965 3.254
S 3.436 1.986 0.000
S 2.296 0.000 3.254
S 3.436 -1.986 0.000
S 2.296 -3.965 3.254
```

Summary:
Its formation energy from raw total energies is -1.841 eV per atom.

=====

(8)
Entry from the Alexandria database: Tb4Si3S12 after structural relaxation (PBE).

extended XYZ file:
```
76
Lattice="9.970 0.000 0.000 0.000 11.134 0.000 -6.071 0.000 16.139" Properties=species:S:1:pos:R:3 pbc="T T T"
Tb -0.593 0.210 2.027
Tb -3.628 5.356 10.097
Tb 0.253 6.989 2.173
Tb -2.783 9.711 10.242
Tb -2.579 7.233 15.180
Tb 0.457 9.467 7.111
Tb 2.916 2.651 4.693
Tb -0.120 2.916 12.763
Tb 4.018 8.218 3.376
Tb 0.983 8.483 11.445
Tb 3.442 1.667 9.028
Tb 6.477 3.900 0.959
Tb 6.681 1.422 5.897
Tb 3.645 4.144 13.966
Tb 7.527 5.777 6.042
Tb 4.491 10.923 14.112
Si -4.199 2.379 11.834
Si -1.163 3.188 3.764
Si -0.843 6.900 9.025
Si 2.192 9.801 0.956
Si 0.231 0.537 9.992
Si 3.267 5.030 1.922
Si 0.632 6.104 14.216
Si 3.667 10.597 6.147
Si 1.706 1.333 15.183
Si 4.742 4.234 7.114
Si 5.062 7.945 12.374
Si 8.097 8.755 4.305
S -4.294 6.030 13.128
S -1.258 10.671 5.058
S -1.999 8.252 7.846
S -5.035 8.448 15.915
S -4.210 2.339 13.945
S -1.174 3.228 5.876
S -0.340 7.426 5.053
S -3.375 9.275 13.122
S 1.667 0.613 0.421
S -1.369 4.954 8.490
S 0.715 2.473 3.093
S -2.321 3.093 11.163
S -1.255 0.231 8.499
S 1.780 5.336 0.429
S -1.505 7.259 11.035
S 1.531 9.442 2.965
S 2.424 5.875 3.711
S -0.612 10.825 11.780
S 1.974 0.726 6.570
S -1.062 4.840 14.639
S 1.201 7.334 8.896
S 4.237 9.367 0.827
S 0.955 2.504 10.151
S 3.990 3.063 2.081
S -0.092 8.071 14.057
S 2.944 8.629 5.988
S -0.338 1.767 15.312
S 2.697 3.800 7.242
S 4.960 6.293 1.499
S 1.925 10.407 9.569
S 4.510 0.308 4.359
S 1.475 5.259 12.428
S 2.368 1.692 13.173
S 5.403 3.875 5.104
S 2.118 5.798 15.709
S 5.154 10.903 7.640
S 6.219 8.040 4.976
S 3.184 8.660 13.046
S 5.267 6.180 7.649
S 2.232 10.521 15.718
S 7.274 1.859 3.017
S 4.238 3.708 11.086
S 5.073 7.906 10.263
S 8.109 8.795 2.194
S 8.934 2.685 0.223
S 5.898 2.882 8.293
S 5.157 0.463 11.081
S 8.192 5.104 3.011
```

Summary:
Its formation energy from raw total energies is -1.420 eV per atom.

=====

(9)
Entry from the Alexandria database: Tb2Si2S7 after structural relaxation (PBE).

extended XYZ file:
```
11
Lattice="4.384 -5.433 0.000 4.384 5.433 0.000 -1.204 0.000 5.753" Properties=species:S:1:pos:R:3 pbc="T T T"
Tb 4.384 3.286 0.000
Tb 4.384 -3.286 0.000
Si 1.701 0.000 3.387
Si 5.863 0.000 2.366
S 1.278 1.788 4.467
S 0.590 0.000 1.577
S 1.278 -1.788 4.467
S 3.782 0.000 2.876
S 6.287 1.788 1.285
S 6.975 0.000 4.176
S 6.287 -1.788 1.285
```

Summary:
Its formation energy from raw total energies is -1.150 eV per atom.

=====

(10)
Entry from the Alexandria database: Tb6Si2TeS3 after structural relaxation (PBE).

extended XYZ file:
```
12
Lattice="8.876 -2.041 0.000 8.876 2.041 0.000 -1.765 0.000 8.033" Properties=species:S:1:pos:R:3 pbc="T T T"
Tb -0.413 0.000 2.223
Tb 4.176 0.000 7.242
Tb 5.163 0.000 3.350
Tb 10.824 0.000 4.683
Tb 11.811 0.000 0.791
Tb 16.400 0.000 5.810
Si 2.375 0.000 2.694
Si 13.612 0.000 5.339
Te 8.876 0.000 0.000
S 1.425 0.000 6.717
S 7.994 0.000 4.016
S 14.562 0.000 1.316
```

Summary:
Its formation energy from raw total energies is -1.494 eV per atom.

=====

(11)
Entry from the Alexandria database: Tb8Si3Te3S after structural relaxation (PBE).

extended XYZ file:
```
15
Lattice="4.172 2.409 7.005 -4.172 2.409 7.005 0.000 -4.818 7.005" Properties=species:S:1:pos:R:3 pbc="T T T"
Tb -2.121 -1.225 12.055
Tb 0.000 0.000 5.047
Tb 0.000 -2.449 8.961
Tb -2.121 1.225 8.961
Tb 2.121 -1.225 12.055
Tb 0.000 2.449 12.055
Tb 0.000 0.000 15.969
Tb 2.121 1.225 8.961
Si -4.172 0.000 10.508
Si -2.086 1.204 3.503
Si 2.086 1.204 3.503
Te -2.086 -1.204 7.005
Te -2.086 1.204 14.011
Te 0.000 2.409 7.005
S 0.000 0.000 10.508
```

Summary:
Its formation energy from raw total energies is -1.115 eV per atom.

=====

(12)
Entry from the Alexandria database: Tb6SiTe3S2 after structural relaxation (PBE).

extended XYZ file:
```
12
Lattice="3.573 -6.184 0.000 3.573 6.184 0.000 -2.374 0.000 7.090" Properties=species:S:1:pos:R:3 pbc="T T T"
Tb 1.185 2.052 1.495
Tb -0.003 0.000 5.602
Tb 1.185 -2.052 1.495
Tb 3.586 2.052 5.594
Tb 4.774 0.000 1.488
Tb 3.586 -2.052 5.594
Si 0.000 0.000 0.000
Te 2.386 4.125 3.545
Te 2.386 0.000 3.545
Te 2.386 -4.125 3.545
S 3.573 2.063 0.000
S 3.573 -2.063 0.000
```

Summary:
Its formation energy from raw total energies is -1.524 eV per atom.

=====

(13)
Entry from the Alexandria database: Tb8Si3Te4S after structural relaxation (PBE).

extended XYZ file:
```
16
Lattice="4.202 2.426 7.089 -4.202 2.426 7.089 0.000 -4.852 7.089" Properties=species:S:1:pos:R:3 pbc="T T T"
Tb -2.124 -1.226 12.172
Tb 0.000 0.000 5.109
Tb 0.000 -2.453 9.095
Tb -2.124 1.226 9.095
Tb 2.124 -1.226 12.172
Tb 0.000 2.453 12.172
Tb 0.000 0.000 16.157
Tb 2.124 1.226 9.095
Si -4.202 0.000 10.633
Si -2.101 1.213 3.544
Si 2.101 1.213 3.544
Te 0.000 0.000 0.000
Te -2.101 -1.213 7.089
Te -2.101 1.213 14.177
Te 0.000 2.426 7.089
S 0.000 0.000 10.633
```

Summary:
Its formation energy from raw total energies is -1.284 eV per atom.

=====

(14)
Entry from the Alexandria database: Tb6Si2Te3S after structural relaxation (PBE).

extended XYZ file:
```
12
Lattice="9.320 -2.095 0.000 9.320 2.095 0.000 -2.276 0.000 8.270" Properties=species:S:1:pos:R:3 pbc="T T T"
Tb -0.352 0.000 1.923
Tb 5.099 0.000 3.600
Tb 4.285 0.000 7.421
Tb 12.079 0.000 0.849
Tb 11.266 0.000 4.670
Tb 16.717 0.000 6.347
Si 2.342 0.000 2.731
Si 14.023 0.000 5.539
Te 1.177 0.000 6.894
Te 8.182 0.000 4.135
Te 15.187 0.000 1.376
S 9.320 0.000 0.000
```

Summary:
Its formation energy from raw total energies is -1.326 eV per atom.

=====

(15)
Entry from the Alexandria database: TbTmSiS after structural relaxation (PBE).

extended XYZ file:
```
4
Lattice="1.996 1.153 6.618 -1.996 1.153 6.618 0.000 -2.305 6.618" Properties=species:S:1:pos:R:3 pbc="T T T"
Tb 0.000 0.000 0.000
Tm 0.000 0.000 9.949
Si 0.000 0.000 4.946
S 0.000 0.000 14.939
```

Summary:
Its formation energy from raw total energies is -1.356 eV per atom.

=====

(16)
Entry from the Alexandria database: SiTcS3 after structural relaxation (PBE).

extended XYZ file:
```
5
Lattice="4.632 0.000 0.000 0.000 4.632 0.000 0.000 0.000 4.632" Properties=species:S:1:pos:R:3 pbc="T T T"
Si 0.000 0.000 0.000
Tc 2.316 2.316 2.316
S 0.000 2.316 2.316
S 2.316 0.000 2.316
S 2.316 2.316 0.000
```

Summary:
Its energy above the most stable polymorph in this dataset is 0.000 eV/atom. Its formation energy from raw total energies is 0.525 eV per atom.

=====

(17)
Entry from the Alexandria database: Si3TcS after structural relaxation (PBE).

extended XYZ file:
```
5
Lattice="4.388 0.000 0.000 0.000 4.388 0.000 0.000 0.000 4.388" Properties=species:S:1:pos:R:3 pbc="T T T"
Si 0.000 0.000 2.194
Si 0.000 2.194 0.000
Si 2.194 0.000 0.000
Tc 2.194 2.194 2.194
S 0.000 0.000 0.000
```

Summary:
Its energy above the most stable polymorph in this dataset is 0.697 eV/atom. Its formation energy from raw total energies is 1.110 eV per atom.

=====

(18)
Entry from the Alexandria database: SiTcS2 after structural relaxation (PBE).

extended XYZ file:
```
4
Lattice="1.550 0.895 8.305 -1.550 0.895 8.305 0.000 -1.790 8.305" Properties=species:S:1:pos:R:3 pbc="T T T"
Si 0.000 0.000 0.000
Tc 0.000 0.000 12.458
S 0.000 0.000 2.534
S 0.000 0.000 22.382
```

Summary:
Its formation energy from raw total energies is 0.039 eV per atom.

=====

(19)
Entry from the Alexandria database: SiTcS3 after structural relaxation (PBE).

extended XYZ file:
```
5
Lattice="4.366 0.000 0.000 0.000 4.366 0.000 0.000 0.000 4.366" Properties=species:S:1:pos:R:3 pbc="T T T"
Si 0.000 0.000 0.000
Tc 2.183 2.183 2.183
S 0.000 0.000 2.183
S 0.000 2.183 0.000
S 2.183 0.000 0.000
```

Summary:
Its energy above the most stable polymorph in this dataset is 0.270 eV/atom. Its formation energy from raw total energies is 0.794 eV per atom.